Density functional theory data (PBE) for a relaxed K3ScS crystal.

It has space group Pm-3m (No. 221), with a = 6.756 Å, b = 6.756 Å, c = 6.756 Å, α = 90.00°, β = 90.00° and γ = 90.00°. The inequivalent atoms are K at (0.000, 0.000, 0.500), Sc at (0.000, 0.000, 0.000) and S at (0.500, 0.500, 0.500).

The calculation puts the formation energy from raw total energies at 0.820 eV per atom. The density of states at the Fermi level comes out at 3.09 states/eV per cell.